Density functional theory data (GGA-PBE) for a relaxed structure of NbNi3B.

Cell: 3.8829 3.8829 3.8829 Å, 90.00 90.00 90.00°
Atoms (fractional coordinates):
Nb: 0.0000 0.0000 0.0000
Ni: 0.0000 0.5000 0.5000
Ni: 0.5000 0.0000 0.5000
Ni: 0.5000 0.5000 0.0000
B: 0.5000 0.5000 0.5000

Results
Total DFT energy (no corrections): -6.84 eV per atom
ΔH_f (0 K): -0.02 eV per atom
ΔE to the lowest computed polymorph: 0.0 meV per atom
Volume: 58.5 Å³ per cell

Density functional theory data (GGA-PBE) for a relaxed structure of Ca2AlHg.

Cell: 5.9793 5.9793 5.9793 Å, 134.34 134.34 66.55°
Atoms (fractional coordinates):
Ca: 0.0000 0.0000 0.0000
Ca: 0.7500 0.2500 0.5000
Al: 0.5000 0.5000 0.0000
Hg: 0.2500 0.7500 0.5000

Results
Total DFT energy (no corrections): -2.20 eV per atom
ΔH_f (0 K): -0.19 eV per atom
ΔE to the lowest computed polymorph: 180.1 meV per atom
Volume: 107.6 Å³ per cell

Density functional theory data (GGA-PBE) for a relaxed structure of MgGeTe2.

Cell: 7.3267 7.3267 7.3267 Å, 33.86 33.86 33.86°
Atoms (fractional coordinates):
Mg: 0.0000 0.0000 0.0000
Ge: 0.5000 0.5000 0.5000
Te: 0.2509 0.2509 0.2509
Te: 0.7491 0.7491 0.7491

Results
Total DFT energy (no corrections): -3.54 eV per atom
ΔE to the lowest computed polymorph: 0.0 meV per atom
Volume: 108.8 Å³ per cell
Energy relative to the elements, uncorrected: -0.421 eV/atom

Density functional theory data (GGA-PBE) for a relaxed structure of RbBrF2.

Cell: 5.7289 5.7289 5.7289 Å, 44.59 44.59 44.59°
Atoms (fractional coordinates):
Rb: 0.0000 0.0000 0.0000
Br: 0.5000 0.5000 0.5000
F: 0.2323 0.2323 0.2323
F: 0.7677 0.7677 0.7677

Results
Total DFT energy (no corrections): -2.83 eV per atom
ΔE to the lowest computed polymorph: 539.0 meV per atom
Volume: 84.3 Å³ per cell
Energy relative to the elements, uncorrected: -1.239 eV/atom

Density functional theory data (GGA-PBE) for a relaxed structure of DyTm2I.

Cell: 10.5631 10.5631 10.5631 Å, 20.19 20.19 20.19°
Atoms (fractional coordinates):
Dy: 0.0000 0.0000 0.0000
Tm: 0.2460 0.2460 0.2460
Tm: 0.7540 0.7540 0.7540
I: 0.5000 0.5000 0.5000

Results
Total DFT energy (no corrections): -4.08 eV per atom
Volume: 122.9 Å³ per cell
Energy relative to the elements, uncorrected: -0.311 eV/atom

Density functional theory data (GGA-PBE) for a relaxed structure of GaHg3Se4.

Cell: 8.9552 7.5468 7.1259 Å, 90.00 90.00 90.00°
Atoms (fractional coordinates):
Ga: 0.0000 0.1763 0.0000
Ga: 0.5000 0.8237 0.5000
Hg: 0.0000 0.8343 0.5115
Hg: 0.2455 0.6750 0.9993
Hg: 0.2545 0.3250 0.4993
Hg: 0.5000 0.1657 0.0115
Hg: 0.7455 0.3250 0.4993
Hg: 0.7545 0.6750 0.9993
Se: 0.0000 0.1820 0.6510
Se: 0.0000 0.8652 0.1123
Se: 0.2302 0.3253 0.1114
Se: 0.2698 0.6747 0.6114
Se: 0.5000 0.1348 0.6123
Se: 0.5000 0.8180 0.1510
Se: 0.7302 0.6747 0.6114
Se: 0.7698 0.3253 0.1114

Results
Total DFT energy (no corrections): -2.49 eV per atom
ΔE to the lowest computed polymorph: 2.6 meV per atom
Volume: 481.6 Å³ per cell
Energy relative to the elements, uncorrected: -0.252 eV/atom